An optimized crystal structure of ScFeCo2. Source: Alexandria via LeMat-Bulk, functional GGA-PBE.

CIF file:
```
data_ScFeCo2
_chemical_formula_sum 'Sc2 Fe2 Co4'
_cell_length_a 3.074
_cell_length_b 4.093
_cell_length_c 8.487
_cell_angle_alpha 90.00
_cell_angle_beta 90.00
_cell_angle_gamma 90.00
_space_group_name_H-M_alt 'I m m 2'
_space_group_IT_number 44
loop_
_space_group_symop_operation_xyz
'x,y,z'
'-x,-y,z'
'-x,y,z'
'x,-y,z'
'x+1/2,y+1/2,z+1/2'
'-x+1/2,-y+1/2,z+1/2'
'-x+1/2,y+1/2,z+1/2'
'x+1/2,-y+1/2,z+1/2'
loop_
_atom_site_label
_atom_site_type_symbol
_atom_site_fract_x
_atom_site_fract_y
_atom_site_fract_z
Sc1 Sc 0.000 0.000 0.000
Fe1 Fe 0.000 0.500 0.236
Co1 Co 0.000 0.000 0.501
Co2 Co 0.000 0.500 0.759
```

---

An optimized crystal structure of Sc2FeCo. Source: Alexandria via LeMat-Bulk, functional GGA-PBE.

CIF file:
```
data_Sc2FeCo
_chemical_formula_sum 'Sc4 Fe2 Co2'
_cell_length_a 3.151
_cell_length_b 4.339
_cell_length_c 9.465
_cell_angle_alpha 90.00
_cell_angle_beta 90.00
_cell_angle_gamma 90.00
_space_group_name_H-M_alt 'I m m 2'
_space_group_IT_number 44
loop_
_space_group_symop_operation_xyz
'x,y,z'
'-x,-y,z'
'-x,y,z'
'x,-y,z'
'x+1/2,y+1/2,z+1/2'
'-x+1/2,-y+1/2,z+1/2'
'-x+1/2,y+1/2,z+1/2'
'x+1/2,-y+1/2,z+1/2'
loop_
_atom_site_label
_atom_site_type_symbol
_atom_site_fract_x
_atom_site_fract_y
_atom_site_fract_z
Sc1 Sc 0.000 0.000 0.000
Sc2 Sc 0.000 0.500 0.218
Fe1 Fe 0.000 0.000 0.451
Co1 Co 0.000 0.500 0.755
```

---

An optimized crystal structure of ScFe3Co. Source: Alexandria via LeMat-Bulk, functional GGA-PBE.

CIF file:
```
data_ScFe3Co
_chemical_formula_sum 'Sc1 Fe3 Co1'
_cell_length_a 4.351
_cell_length_b 4.351
_cell_length_c 4.351
_cell_angle_alpha 90.00
_cell_angle_beta 90.00
_cell_angle_gamma 90.00
_space_group_name_H-M_alt 'P m -3 m'
_space_group_IT_number 221
_space_group_name_Hall '-P 4 2 3'
loop_
_atom_site_label
_atom_site_type_symbol
_atom_site_fract_x
_atom_site_fract_y
_atom_site_fract_z
Sc1 Sc 0.000 0.000 0.000
Fe1 Fe 0.000 0.000 0.500
Co1 Co 0.500 0.500 0.500
```

---

An optimized crystal structure of ScFeCo2. Source: Alexandria via LeMat-Bulk, functional GGA-PBE.

CIF file:
```
data_ScFeCo2
_chemical_formula_sum 'Sc3 Fe3 Co6'
_cell_length_a 2.8390
_cell_length_b 2.8390
_cell_length_c 23.8101
_cell_angle_alpha 90.00
_cell_angle_beta 90.00
_cell_angle_gamma 120.00
_space_group_name_H-M_alt 'R -3 m'
_space_group_IT_number 166
_space_group_name_Hall '-R 3 2"'
loop_
_atom_site_label
_atom_site_type_symbol
_atom_site_fract_x
_atom_site_fract_y
_atom_site_fract_z
Sc1 Sc 0.0000 0.0000 0.0000
Fe1 Fe 0.0000 0.0000 0.5000
Co1 Co 0.0000 0.0000 0.2434
```

---

An optimized crystal structure of ScFe2Co. Source: Alexandria via LeMat-Bulk, functional GGA-PBE.

CIF file:
```
data_ScFe2Co
_chemical_formula_sum 'Sc2 Fe4 Co2'
_cell_length_a 3.588
_cell_length_b 3.588
_cell_length_c 8.444
_cell_angle_alpha 90.00
_cell_angle_beta 90.00
_cell_angle_gamma 90.00
_space_group_name_H-M_alt 'I 4/m m m'
_space_group_IT_number 139
_space_group_name_Hall '-I 4 2'
loop_
_atom_site_label
_atom_site_type_symbol
_atom_site_fract_x
_atom_site_fract_y
_atom_site_fract_z
Sc1 Sc 0.000 0.000 0.000
Fe1 Fe 0.000 0.500 0.250
Co1 Co 0.000 0.000 0.500
```

---

An optimized crystal structure of Sc2Fe3Co. Source: Alexandria via LeMat-Bulk, functional GGA-PBE.

CIF file:
```
data_Sc2Fe3Co
_chemical_formula_sum 'Sc6 Fe9 Co3'
_cell_length_a 4.9441
_cell_length_b 4.9441
_cell_length_c 12.0705
_cell_angle_alpha 90.00
_cell_angle_beta 90.00
_cell_angle_gamma 120.00
_space_group_name_H-M_alt 'R -3 m'
_space_group_IT_number 166
_space_group_name_Hall '-R 3 2"'
loop_
_atom_site_label
_atom_site_type_symbol
_atom_site_fract_x
_atom_site_fract_y
_atom_site_fract_z
Sc1 Sc 0.0000 0.0000 0.1251
Fe1 Fe 0.0000 0.5000 0.0000
Co1 Co 0.0000 0.0000 0.5000
```

---

An optimized crystal structure of ScFe2Co. Source: Alexandria via LeMat-Bulk, functional GGA-PBE.

CIF file:
```
data_ScFe2Co
_chemical_formula_sum 'Sc1 Fe2 Co1'
_cell_length_a 3.607
_cell_length_b 3.607
_cell_length_c 4.131
_cell_angle_alpha 90.00
_cell_angle_beta 90.00
_cell_angle_gamma 90.00
_space_group_name_H-M_alt 'P 4/m m m'
_space_group_IT_number 123
_space_group_name_Hall '-P 4 2'
loop_
_atom_site_label
_atom_site_type_symbol
_atom_site_fract_x
_atom_site_fract_y
_atom_site_fract_z
Sc1 Sc 0.000 0.000 0.000
Fe1 Fe 0.000 0.500 0.500
Co1 Co 0.500 0.500 0.000
```

---

An optimized crystal structure of ScFeCo2. Source: Alexandria via LeMat-Bulk, functional GGA-PBE.

CIF file:
```
data_ScFeCo2
_chemical_formula_sum 'Sc4 Fe4 Co8'
_cell_length_a 5.943
_cell_length_b 5.943
_cell_length_c 5.943
_cell_angle_alpha 90.00
_cell_angle_beta 90.00
_cell_angle_gamma 90.00
_space_group_name_H-M_alt 'F -4 3 m'
_space_group_IT_number 216
_space_group_name_Hall 'F -4 2 3'
loop_
_atom_site_label
_atom_site_type_symbol
_atom_site_fract_x
_atom_site_fract_y
_atom_site_fract_z
Sc1 Sc 0.000 0.000 0.000
Fe1 Fe 0.250 0.250 0.250
Co1 Co 0.000 0.000 0.500
Co2 Co 0.250 0.250 0.750
```

---

An optimized crystal structure of ScFe2Co. Source: Alexandria via LeMat-Bulk, functional GGA-PBE.

CIF file:
```
data_ScFe2Co
_chemical_formula_sum 'Sc1 Fe2 Co1'
_cell_length_a 2.741
_cell_length_b 4.084
_cell_length_c 4.997
_cell_angle_alpha 90.00
_cell_angle_beta 103.90
_cell_angle_gamma 90.00
_space_group_name_H-M_alt 'P 1 2/m 1'
_space_group_IT_number 10
loop_
_space_group_symop_operation_xyz
'x,y,z'
'-x,-y,-z'
'-x,y,-z'
'x,-y,z'
loop_
_atom_site_label
_atom_site_type_symbol
_atom_site_fract_x
_atom_site_fract_y
_atom_site_fract_z
Sc1 Sc 0.000 0.000 0.000
Fe1 Fe 0.283 0.500 0.728
Co1 Co 0.500 0.000 0.500
```

---

An optimized crystal structure of Sc6Fe2Co. Source: Alexandria via LeMat-Bulk, functional GGA-PBE.

CIF file:
```
data_Sc6Fe2Co
_chemical_formula_sum 'Sc24 Fe8 Co4'
_cell_length_a 8.644
_cell_length_b 8.775
_cell_length_c 8.816
_cell_angle_alpha 90.00
_cell_angle_beta 90.00
_cell_angle_gamma 90.00
_space_group_name_H-M_alt 'I m m m'
_space_group_IT_number 71
_space_group_name_Hall '-I 2 2'
loop_
_atom_site_label
_atom_site_type_symbol
_atom_site_fract_x
_atom_site_fract_y
_atom_site_fract_z
Sc1 Sc 0.000 0.169 0.193
Sc2 Sc 0.174 0.500 0.248
Sc3 Sc 0.191 0.233 0.500
Fe1 Fe 0.000 0.382 0.000
Fe2 Fe 0.165 0.000 0.000
Co1 Co 0.000 0.000 0.500
Co2 Co 0.000 0.500 0.500
```

---

An optimized crystal structure of ScFeCo3. Source: Alexandria via LeMat-Bulk, functional GGA-PBE.

CIF file:
```
data_ScFeCo3
_chemical_formula_sum 'Sc4 Fe4 Co12'
_cell_length_a 4.767
_cell_length_b 6.470
_cell_length_c 8.668
_cell_angle_alpha 90.00
_cell_angle_beta 90.00
_cell_angle_gamma 90.00
_space_group_name_H-M_alt 'I m m a'
_space_group_IT_number 74
_space_group_name_Hall '-I 2b 2'
loop_
_atom_site_label
_atom_site_type_symbol
_atom_site_fract_x
_atom_site_fract_y
_atom_site_fract_z
Sc1 Sc 0.000 0.250 0.010
Fe1 Fe 0.000 0.000 0.500
Co1 Co 0.000 0.250 0.305
Co2 Co 0.250 0.068 0.750
```

---

An optimized crystal structure of ScFeCo2. Source: Alexandria via LeMat-Bulk, functional GGA-PBE.

CIF file:
```
data_ScFeCo2
_chemical_formula_sum 'Sc1 Fe1 Co2'
_cell_length_a 4.140
_cell_length_b 4.140
_cell_length_c 3.075
_cell_angle_alpha 90.00
_cell_angle_beta 90.00
_cell_angle_gamma 90.00
_space_group_name_H-M_alt 'P 4/m m m'
_space_group_IT_number 123
_space_group_name_Hall '-P 4 2'
loop_
_atom_site_label
_atom_site_type_symbol
_atom_site_fract_x
_atom_site_fract_y
_atom_site_fract_z
Sc1 Sc 0.000 0.000 0.000
Fe1 Fe 0.500 0.500 0.000
Co1 Co 0.000 0.500 0.500
```

---

| no. | E_form (eV per atom) |
| --- | --- |
| 1 | -0.080 |
| 2 | -0.111 |
| 3 | 1.639 |
| 4 | 0.227 |
| 5 | 0.008 |
| 6 | -0.303 |
| 7 | -0.014 |
| 8 | -0.018 |
| 9 | 0.034 |
| 10 | -0.127 |
| 11 | -0.053 |
| 12 | -0.147 |